w | Crystalline NbAsBr2O at its relaxed geometry, computed with PBE.

Cell: 4.639 4.639 4.305 Å, 90.00 90.00 90.00°
Atoms (fractional coordinates):
Nb: 0.000 0.000 0.000
As: 0.500 0.500 0.000
Br: 0.000 0.500 0.500
Br: 0.500 0.000 0.500
O: 0.500 0.500 0.500

Values from the calculation:
Symmetry   P4/mmm
Density of states at the Fermi level   1.41 states/eV per atom

x | Crystalline NbAsBr2O at its relaxed geometry, computed with PBE.

Cell: 5.008 5.008 5.150 Å, 90.00 90.00 90.00°
Atoms (fractional coordinates):
Nb: 0.000 0.000 0.000
As: 0.000 0.000 0.500
Br: 0.000 0.500 0.000
Br: 0.500 0.000 0.000
O: 0.500 0.500 0.500

Values from the calculation:
Symmetry   P4/mmm
Density of states at the Fermi level   2.45 states/eV per atom

The least stable of them is w.

w | Crystalline NbAs2PtBr at its relaxed geometry, computed with PBE.

Cell: 4.853 4.853 5.095 Å, 90.00 90.00 90.00°
Atoms (fractional coordinates):
Nb: 0.000 0.000 0.000
As: 0.000 0.500 0.500
As: 0.500 0.000 0.500
Pt: 0.500 0.500 0.500
Br: 0.500 0.500 0.000

Values from the calculation:
Symmetry   P4/mmm
Density of states at the Fermi level   0.86 states/eV per atom

x | Crystalline NbAs2PtBr at its relaxed geometry, computed with PBE.

Cell: 5.055 5.055 4.879 Å, 90.00 90.00 90.00°
Atoms (fractional coordinates):
Nb: 0.000 0.000 0.000
As: 0.000 0.500 0.000
As: 0.500 0.000 0.000
Pt: 0.500 0.500 0.500
Br: 0.000 0.000 0.500

Values from the calculation:
Symmetry   P4/mmm
Density of states at the Fermi level   0.98 states/eV per atom

The least stable of them is w.

w | Crystalline RbNbAs2Br at its relaxed geometry, computed with PBE.

Cell: 5.015 5.015 5.726 Å, 90.00 90.00 90.00°
Atoms (fractional coordinates):
Rb: 0.000 0.000 0.000
Nb: 0.500 0.500 0.500
As: 0.000 0.500 0.500
As: 0.500 0.000 0.500
Br: 0.500 0.500 0.000

Values from the calculation:
Symmetry   P4/mmm
Density of states at the Fermi level   0.65 states/eV per atom

x | Crystalline RbNbAs2Br at its relaxed geometry, computed with PBE.

Cell: 5.506 5.506 5.747 Å, 90.00 90.00 90.00°
Atoms (fractional coordinates):
Rb: 0.000 0.000 0.000
Nb: 0.500 0.500 0.500
As: 0.000 0.500 0.000
As: 0.500 0.000 0.000
Br: 0.000 0.000 0.500

Values from the calculation:
Symmetry   P4/mmm
Density of states at the Fermi level   1.28 states/eV per atom

The least stable of them is x.

w | Crystalline NbAsSeBr2 at its relaxed geometry, computed with PBE.

Cell: 5.120 5.120 5.296 Å, 90.00 90.00 90.00°
Atoms (fractional coordinates):
Nb: 0.000 0.000 0.000
As: 0.500 0.500 0.000
Se: 0.500 0.500 0.500
Br: 0.000 0.500 0.500
Br: 0.500 0.000 0.500

Values from the calculation:
Symmetry   P4/mmm
Density of states at the Fermi level   1.37 states/eV per atom

x | Crystalline NbAsSeBr2 at its relaxed geometry, computed with PBE.

Cell: 5.125 5.125 5.314 Å, 90.00 90.00 90.00°
Atoms (fractional coordinates):
Nb: 0.000 0.000 0.000
As: 0.500 0.500 0.500
Se: 0.500 0.500 0.000
Br: 0.000 0.500 0.500
Br: 0.500 0.000 0.500

Values from the calculation:
Symmetry   P4/mmm
Density of states at the Fermi level   1.63 states/eV per atom

y | Crystalline NbAsSeBr2 at its relaxed geometry, computed with PBE.

Cell: 5.251 5.251 5.062 Å, 90.00 90.00 90.00°
Atoms (fractional coordinates):
Nb: 0.000 0.000 0.000
As: 0.500 0.500 0.500
Se: 0.000 0.000 0.500
Br: 0.000 0.500 0.000
Br: 0.500 0.000 0.000

Values from the calculation:
Symmetry   P4/mmm
Density of states at the Fermi level   0.54 states/eV per atom

z | Crystalline NbAsSeBr2 at its relaxed geometry, computed with PBE.

Cell: 4.966 4.966 5.365 Å, 90.00 90.00 90.00°
Atoms (fractional coordinates):
Nb: 0.000 0.000 0.000
As: 0.000 0.000 0.500
Se: 0.500 0.500 0.500
Br: 0.000 0.500 0.000
Br: 0.500 0.000 0.000

Values from the calculation:
Symmetry   P4/mmm
Density of states at the Fermi level   1.21 states/eV per atom

The least stable of them is w.

w | Crystalline NbAsSe2Br at its relaxed geometry, computed with PBE.

Cell: 5.072 5.072 5.216 Å, 90.00 90.00 90.00°
Atoms (fractional coordinates):
Nb: 0.000 0.000 0.000
As: 0.500 0.500 0.500
Se: 0.000 0.500 0.000
Se: 0.500 0.000 0.000
Br: 0.000 0.000 0.500

Values from the calculation:
Symmetry   P4/mmm
Density of states at the Fermi level   0.56 states/eV per atom

x | Crystalline NbAsSe2Br at its relaxed geometry, computed with PBE.

Cell: 5.100 5.100 4.983 Å, 90.00 90.00 90.00°
Atoms (fractional coordinates):
Nb: 0.000 0.000 0.000
As: 0.500 0.500 0.500
Se: 0.000 0.500 0.500
Se: 0.500 0.000 0.500
Br: 0.500 0.500 0.000

Values from the calculation:
Symmetry   P4/mmm
Density of states at the Fermi level   1.24 states/eV per atom

The least stable of them is x.

w | Crystalline NbAsSe2Br at its relaxed geometry, computed with PBE.

Cell: 4.947 4.947 5.282 Å, 90.00 90.00 90.00°
Atoms (fractional coordinates):
Nb: 0.000 0.000 0.000
As: 0.000 0.000 0.500
Se: 0.000 0.500 0.000
Se: 0.500 0.000 0.000
Br: 0.500 0.500 0.500

Values from the calculation:
Symmetry   P4/mmm
Density of states at the Fermi level   0.84 states/eV per atom

x | Crystalline NbAsSe2Br at its relaxed geometry, computed with PBE.

Cell: 5.063 5.063 4.978 Å, 90.00 90.00 90.00°
Atoms (fractional coordinates):
Nb: 0.000 0.000 0.000
As: 0.500 0.500 0.000
Se: 0.000 0.500 0.500
Se: 0.500 0.000 0.500
Br: 0.500 0.500 0.500

Values from the calculation:
Symmetry   P4/mmm
Density of states at the Fermi level   1.23 states/eV per atom

The least stable of them is x.

w | Crystalline NbSnAs2Br at its relaxed geometry, computed with PBE.

Cell: 5.061 5.061 5.199 Å, 90.00 90.00 90.00°
Atoms (fractional coordinates):
Nb: 0.000 0.000 0.000
Sn: 0.500 0.500 0.500
As: 0.000 0.500 0.000
As: 0.500 0.000 0.000
Br: 0.000 0.000 0.500

Values from the calculation:
Symmetry   P4/mmm
Density of states at the Fermi level   0.45 states/eV per atom

x | Crystalline NbSnAs2Br at its relaxed geometry, computed with PBE.

Cell: 5.192 5.192 5.331 Å, 90.00 90.00 90.00°
Atoms (fractional coordinates):
Nb: 0.000 0.000 0.000
Sn: 0.500 0.500 0.500
As: 0.000 0.500 0.500
As: 0.500 0.000 0.500
Br: 0.500 0.500 0.000

Values from the calculation:
Symmetry   P4/mmm
Density of states at the Fermi level   0.86 states/eV per atom

The least stable of them is x.

w | Crystalline SrNbAsBr2 at its relaxed geometry, computed with PBE.

Cell: 5.624 5.624 6.195 Å, 90.00 90.00 90.00°
Atoms (fractional coordinates):
Sr: 0.000 0.000 0.000
Nb: 0.500 0.500 0.500
As: 0.000 0.000 0.500
Br: 0.000 0.500 0.000
Br: 0.500 0.000 0.000

Values from the calculation:
Symmetry   P4/mmm
Density of states at the Fermi level   1.42 states/eV per atom

x | Crystalline SrNbAsBr2 at its relaxed geometry, computed with PBE.

Cell: 5.276 5.276 5.134 Å, 90.00 90.00 90.00°
Atoms (fractional coordinates):
Sr: 0.000 0.000 0.000
Nb: 0.500 0.500 0.500
As: 0.500 0.500 0.000
Br: 0.000 0.500 0.500
Br: 0.500 0.000 0.500

Values from the calculation:
Symmetry   P4/mmm
Density of states at the Fermi level   0.67 states/eV per atom

The least stable of them is w.